No. 1
The following is a DFT calculation (PBE) of a relaxed DyTmAs2 crystal.

Values from the calculation:
**Size of the total moment**: 0.000 μB per cell
**ΔE_f**: -1.36 eV per atom
**Energy above the lowest structure with this stoichiometry**: 158 meV per atom
**DFT total energy**: -0.438 Ry/atom

Cell lengths 7.3407, 7.3407, 7.3407 Å; angles 32.08, 32.08, 32.08 degrees
Last column: nearest neighbours and their distance in Å.
Fractional positions:
Dy: 0.0000 0.0000 0.0000  6 As 2.88-2.95
Tm: 0.8288 0.8288 0.8288  6 As 2.89-2.94
As: 0.4140 0.4140 0.4140  3 Dy 2.88, 3 Tm 2.89
As: 0.5810 0.5810 0.5810  3 Tm 2.94, 3 Dy 2.95

***

No. 2
The following is a DFT calculation (PBE) of a relaxed YW4 crystal.

Values from the calculation:
**Size of the total moment**: 0.000 μB per cell
**ΔE_f**: 3.30 eV per atom
**Energy above the lowest structure with this stoichiometry**: 3007 meV per atom
**DFT total energy**: -0.614 Ry/atom

Cell lengths 4.6882, 4.6882, 4.6882 Å; angles 90.00, 90.00, 90.00 degrees
Last column: nearest neighbours and their distance in Å.
Fractional positions:
Y: 0.0000 0.0000 0.0000  6 W 2.34
W: 0.0000 0.0000 0.5000  2 Y 2.34
W: 0.0000 0.5000 0.0000  2 Y 2.34
W: 0.5000 0.0000 0.0000  2 Y 2.34
W: 0.5000 0.5000 0.5000  12 W 3.32

***

No. 3
The following is a DFT calculation (PBE) of a relaxed Hf3AuN crystal.

Values from the calculation:
**Size of the total moment**: 0.926 μB per cell
**Raw formation energy**: 832.7 kJ/mol of formula units
**DFT total energy**: -0.483 Ry/atom

Cell lengths 5.0819, 5.0819, 5.0819 Å; angles 90.00, 90.00, 90.00 degrees
Last column: nearest neighbours and their distance in Å.
Fractional positions:
Hf: 0.0000 0.0000 0.5000  2 Au 2.54
Hf: 0.0000 0.5000 0.0000  2 Au 2.54
Hf: 0.5000 0.0000 0.0000  2 Au 2.54
Au: 0.0000 0.0000 0.0000  6 Hf 2.54
N: 0.5000 0.5000 0.5000  12 Hf 3.59

***

No. 4
The following is a DFT calculation (PBE) of a relaxed Sr2CdPRh crystal.

Values from the calculation:
**Size of the total moment**: 0.000 μB per cell
**ΔE_f**: -0.47 eV per atom
**Energy above the lowest structure with this stoichiometry**: 42 meV per atom
**DFT total energy**: -0.285 Ry/atom

Cell lengths 5.8654, 5.8654, 4.4513 Å; angles 90.00, 90.00, 90.00 degrees
Last column: nearest neighbours and their distance in Å.
Fractional positions:
Sr: 0.0000 0.5000 0.0000  2 Rh 2.93
Sr: 0.5000 0.0000 0.0000  2 Rh 2.93
Cd: 0.0000 0.0000 0.5000  8 Sr 3.68
P: 0.5000 0.5000 0.5000  2 Rh 2.23
Rh: 0.5000 0.5000 0.0000  2 P 2.23

***

No. 5
The following is a DFT calculation (PBE) of a relaxed Ac6RuPt2I3 crystal.

Values from the calculation:
**Size of the total moment**: 0.000 μB per cell
**Raw formation energy**: -1259.6 kJ/mol of formula units
**DFT total energy**: -0.390 Ry/atom

Cell lengths 7.6715, 7.6715, 9.0145 Å; angles 98.15, 98.15, 120.01 degrees
Last column: nearest neighbours and their distance in Å.
Fractional positions:
Ac: 0.0618 0.3847 0.1853  1 Ru 2.95, 2 Pt 3.05
Ac: 0.2610 0.2610 0.8145  1 Ru 2.95, 2 Pt 3.05
Ac: 0.3847 0.0618 0.1853  1 Ru 2.95, 2 Pt 3.05
Ac: 0.6153 0.9382 0.8147  1 Ru 2.95, 2 Pt 3.05
Ac: 0.7390 0.7390 0.1855  1 Ru 2.95, 2 Pt 3.05
Ac: 0.9382 0.6153 0.8147  1 Ru 2.95, 2 Pt 3.05
Ru: 0.0000 0.0000 0.0000  6 Ac 2.95
Pt: 0.3333 0.6667 0.0000  6 Ac 3.05
Pt: 0.6667 0.3333 0.0000  6 Ac 3.05
I: 0.1654 0.8346 0.5000  6 Ac 3.70-3.80
I: 0.5000 0.5000 0.5000  6 Ac 3.71-3.79
I: 0.8346 0.1654 0.5000  6 Ac 3.70-3.80

***

No. 6
The following is a DFT calculation (PBE) of a relaxed Zn3Sn12Sb5 crystal.

Values from the calculation:
**Size of the total moment**: 0.000 μB per cell
**Raw formation energy**: 299.0 kJ/mol of formula units
**DFT total energy**: -0.255 Ry/atom

Cell lengths 14.8997, 14.8997, 14.8997 Å; angles 109.47, 109.47, 109.47 degrees
Last column: nearest neighbours and their distance in Å.
Fractional positions:
Zn: 0.1250 0.2500 0.3750  4 Sn 2.77
Zn: 0.1250 0.3750 0.7500  4 Sn 2.77
Zn: 0.2500 0.3750 0.1250  4 Sn 2.77
Zn: 0.2500 0.8750 0.6250  4 Sn 2.77
Zn: 0.3750 0.1250 0.2500  4 Sn 2.77
Zn: 0.3750 0.7500 0.1250  4 Sn 2.77
Zn: 0.6250 0.2500 0.8750  4 Sn 2.77
Zn: 0.6250 0.8750 0.7500  4 Sn 2.77
Zn: 0.7500 0.1250 0.3750  4 Sn 2.77
Zn: 0.7500 0.6250 0.8750  4 Sn 2.77
Zn: 0.8750 0.6250 0.2500  4 Sn 2.77
Zn: 0.8750 0.7500 0.6250  4 Sn 2.77
Sn: 0.0587 0.6304 0.3871  1 Zn 2.77, 2 Sb 2.94-3.07
Sn: 0.0587 0.9283 0.6716  1 Zn 2.77, 2 Sb 2.94-3.07
Sn: 0.0717 0.2433 0.1304  1 Zn 2.77, 2 Sb 2.94-3.07
Sn: 0.0717 0.3284 0.9413  1 Zn 2.77, 2 Sb 2.94-3.07
Sn: 0.1129 0.7433 0.6716  1 Zn 2.77, 2 Sb 2.94-3.07
Sn: 0.1129 0.8696 0.4413  1 Zn 2.77, 2 Sb 2.94-3.07
Sn: 0.1304 0.0717 0.2433  1 Zn 2.77, 2 Sb 2.94-3.07
Sn: 0.1304 0.5587 0.8871  1 Zn 2.77, 2 Sb 2.94-3.07
Sn: 0.1716 0.2433 0.6129  1 Zn 2.77, 2 Sb 2.94-3.07
Sn: 0.1716 0.4283 0.5587  1 Zn 2.77, 2 Sb 2.94-3.07
Sn: 0.2433 0.1304 0.0717  1 Zn 2.77, 2 Sb 2.94-3.07
Sn: 0.2433 0.6129 0.1716  1 Zn 2.77, 2 Sb 2.94-3.07
Sn: 0.2567 0.3284 0.8871  1 Zn 2.77, 2 Sb 2.94-3.07
Sn: 0.2567 0.4283 0.3696  1 Zn 2.77, 2 Sb 2.94-3.07
Sn: 0.3284 0.8871 0.2567  1 Zn 2.77, 2 Sb 2.94-3.07
Sn: 0.3284 0.9413 0.0717  1 Zn 2.77, 2 Sb 2.94-3.07
Sn: 0.3696 0.2567 0.4283  1 Zn 2.77, 2 Sb 2.94-3.07
Sn: 0.3696 0.6129 0.9413  1 Zn 2.77, 2 Sb 2.94-3.07
Sn: 0.3871 0.0587 0.6304  1 Zn 2.77, 2 Sb 2.94-3.07
Sn: 0.3871 0.8284 0.7567  1 Zn 2.77, 2 Sb 2.94-3.07
Sn: 0.4283 0.3696 0.2567  1 Zn 2.77, 2 Sb 2.94-3.07
Sn: 0.4283 0.5587 0.1716  1 Zn 2.77, 2 Sb 2.94-3.07
Sn: 0.4413 0.1129 0.8696  1 Zn 2.77, 2 Sb 2.94-3.07
Sn: 0.4413 0.8284 0.5717  1 Zn 2.77, 2 Sb 2.94-3.07
Sn: 0.5587 0.1716 0.4283  1 Zn 2.77, 2 Sb 2.94-3.07
Sn: 0.5587 0.8871 0.1304  1 Zn 2.77, 2 Sb 2.94-3.07
Sn: 0.5717 0.4413 0.8284  1 Zn 2.77, 2 Sb 2.94-3.07
Sn: 0.5717 0.6304 0.7433  1 Zn 2.77, 2 Sb 2.94-3.07
Sn: 0.6129 0.1716 0.2433  1 Zn 2.77, 2 Sb 2.94-3.07
Sn: 0.6129 0.9413 0.3696  1 Zn 2.77, 2 Sb 2.94-3.07
Sn: 0.6304 0.3871 0.0587  1 Zn 2.77, 2 Sb 2.94-3.07
Sn: 0.6304 0.7433 0.5717  1 Zn 2.77, 2 Sb 2.94-3.07
Sn: 0.6716 0.0587 0.9283  1 Zn 2.77, 2 Sb 2.94-3.07
Sn: 0.6716 0.1129 0.7433  1 Zn 2.77, 2 Sb 2.94-3.07
Sn: 0.7433 0.5717 0.6304  1 Zn 2.77, 2 Sb 2.94-3.07
Sn: 0.7433 0.6716 0.1129  1 Zn 2.77, 2 Sb 2.94-3.07
Sn: 0.7567 0.3871 0.8284  1 Zn 2.77, 2 Sb 2.94-3.07
Sn: 0.7567 0.8696 0.9283  1 Zn 2.77, 2 Sb 2.94-3.07
Sn: 0.8284 0.5717 0.4413  1 Zn 2.77, 2 Sb 2.94-3.07
Sn: 0.8284 0.7567 0.3871  1 Zn 2.77, 2 Sb 2.94-3.07
Sn: 0.8696 0.4413 0.1129  1 Zn 2.77, 2 Sb 2.94-3.07
Sn: 0.8696 0.9283 0.7567  1 Zn 2.77, 2 Sb 2.94-3.07
Sn: 0.8871 0.1304 0.5587  1 Zn 2.77, 2 Sb 2.94-3.07
Sn: 0.8871 0.2567 0.3284  1 Zn 2.77, 2 Sb 2.94-3.07
Sn: 0.9283 0.6716 0.0587  1 Zn 2.77, 2 Sb 2.94-3.07
Sn: 0.9283 0.7567 0.8696  1 Zn 2.77, 2 Sb 2.94-3.07
Sn: 0.9413 0.0717 0.3284  1 Zn 2.77, 2 Sb 2.94-3.07
Sn: 0.9413 0.3696 0.6129  1 Zn 2.77, 2 Sb 2.94-3.07
Sb: 0.0000 0.0000 0.0000  6 Sn 3.07
Sb: 0.0000 0.0000 0.5000  6 Sn 3.07
Sb: 0.0000 0.5000 0.0000  6 Sn 3.07
Sb: 0.0000 0.5000 0.5000  6 Sn 3.07
Sb: 0.1250 0.7500 0.8750  4 Sn 2.94
Sb: 0.1250 0.8750 0.2500  4 Sn 2.94
Sb: 0.2500 0.1250 0.8750  4 Sn 2.94
Sb: 0.2500 0.6250 0.3750  4 Sn 2.94
Sb: 0.3750 0.2500 0.6250  4 Sn 2.94
Sb: 0.3750 0.6250 0.7500  4 Sn 2.94
Sb: 0.5000 0.0000 0.0000  6 Sn 3.07
Sb: 0.5000 0.0000 0.5000  6 Sn 3.07
Sb: 0.5000 0.5000 0.0000  6 Sn 3.07
Sb: 0.5000 0.5000 0.5000  6 Sn 3.07
Sb: 0.6250 0.3750 0.2500  4 Sn 2.94
Sb: 0.6250 0.7500 0.3750  4 Sn 2.94
Sb: 0.7500 0.3750 0.6250  4 Sn 2.94
Sb: 0.7500 0.8750 0.1250  4 Sn 2.94
Sb: 0.8750 0.1250 0.7500  4 Sn 2.94
Sb: 0.8750 0.2500 0.1250  4 Sn 2.94

***

No. 7
The following is a DFT calculation (PBE) of a relaxed Rb2NiPSe4 crystal.

Values from the calculation:
**Size of the total moment**: 1.996 μB per cell
**Raw formation energy**: -402.3 kJ/mol of formula units
**DFT total energy**: -0.287 Ry/atom

Cell lengths 13.8172, 12.4680, 7.4456 Å; angles 83.82, 63.78, 32.39 degrees
Last column: nearest neighbours and their distance in Å.
Fractional positions:
Rb: 0.0528 0.0528 0.6972  8 Se 3.58-3.94
Rb: 0.3028 0.3028 0.9472  8 Se 3.58-3.94
Rb: 0.6972 0.6972 0.0528  8 Se 3.58-3.94
Rb: 0.9472 0.9472 0.3028  8 Se 3.58-3.94
Ni: 0.1250 0.1250 0.1250  4 Se 2.43
Ni: 0.8750 0.8750 0.8750  4 Se 2.43
P: 0.3750 0.3750 0.3750  4 Se 2.25
P: 0.6250 0.6250 0.6250  4 Se 2.25
Se: 0.0028 0.6507 0.5582  1 P 2.25, 1 Ni 2.43
Se: 0.2883 0.5582 0.6507  1 P 2.25, 1 Ni 2.43
Se: 0.3493 0.9972 0.7117  1 P 2.25, 1 Ni 2.43
Se: 0.4418 0.7117 0.9972  1 P 2.25, 1 Ni 2.43
Se: 0.5582 0.2883 0.0028  1 P 2.25, 1 Ni 2.43
Se: 0.6507 0.0028 0.2883  1 P 2.25, 1 Ni 2.43
Se: 0.7117 0.4418 0.3493  1 P 2.25, 1 Ni 2.43
Se: 0.9972 0.3493 0.4418  1 P 2.25, 1 Ni 2.43

***

No. 8
The following is a DFT calculation (PBE) of a relaxed Cs2KTcS4 crystal.

Values from the calculation:
**Size of the total moment**: 2.003 μB per cell
**Raw formation energy**: -659.1 kJ/mol of formula units
**DFT total energy**: -0.335 Ry/atom

Cell lengths 7.3263, 7.3263, 7.3263 Å; angles 111.34, 111.34, 105.79 degrees
Last column: nearest neighbours and their distance in Å.
Fractional positions:
Cs: 0.0000 0.0000 0.0000  4 S 3.67
Cs: 0.7500 0.2500 0.5000  4 S 3.43
K: 0.2500 0.7500 0.5000  4 S 3.10
Tc: 0.5000 0.5000 0.0000  4 S 2.23
S: 0.2175 0.5315 0.0317  1 Tc 2.23
S: 0.4685 0.5002 0.6860  1 Tc 2.23
S: 0.4998 0.1858 0.9683  1 Tc 2.23
S: 0.8142 0.7825 0.3140  1 Tc 2.23

***

No. 9
The following is a DFT calculation (PBE) of a relaxed Pm7ScSn5 crystal.

Values from the calculation:
**Size of the total moment**: 0.299 μB per cell
**ΔE_f**: -0.44 eV per atom
**DFT total energy**: -0.370 Ry/atom

Cell lengths 8.4036, 8.4036, 8.4036 Å; angles 134.35, 98.28, 99.03 degrees
Last column: nearest neighbours and their distance in Å.
Fractional positions:
Pm: 0.0000 0.0000 0.0000  1 Sc 3.47, 4 Sn 3.57, 9 Pm 3.77-3.88
Pm: 0.2508 0.5742 0.6766  5 Sn 3.24-3.33, 1 Pm 3.35
Pm: 0.3530 0.3530 0.0000  6 Sn 3.29-3.42, 1 Sc 3.59
Pm: 0.4026 0.0656 0.3370  5 Sn 3.28-3.37, 2 Pm 3.34-3.58
Pm: 0.7286 0.0656 0.6630  5 Sn 3.28-3.37, 2 Pm 3.34-3.58
Pm: 0.8236 0.3236 0.5000  4 Sn 3.10, 4 Pm 3.34-3.35
Pm: 0.8977 0.5742 0.3234  5 Sn 3.24-3.33, 1 Pm 3.35
Sc: 0.6819 0.6819 0.0000  4 Sn 3.35, 6 Pm 3.47-3.75
Sn: 0.0543 0.0539 0.4672  2 Sn 3.04-3.30, 5 Pm 3.10-3.37, 1 Sc 3.35
Sn: 0.0543 0.5871 0.0004  2 Sn 3.04-3.30, 5 Pm 3.10-3.37, 1 Sc 3.35
Sn: 0.3144 0.8144 0.5000  6 Pm 3.26-3.29, 4 Sn 3.30
Sn: 0.5867 0.0539 0.9996  2 Sn 3.04-3.30, 5 Pm 3.10-3.37, 1 Sc 3.35
Sn: 0.5867 0.5871 0.5328  2 Sn 3.04-3.30, 5 Pm 3.10-3.37, 1 Sc 3.35

***

No. 10
The following is a DFT calculation (PBE) of a relaxed Sm2Tm3Sb2 crystal.

Values from the calculation:
**Size of the total moment**: 0.000 μB per cell
**Raw formation energy**: -430.4 kJ/mol of formula units
**DFT total energy**: -0.373 Ry/atom

Cell lengths 6.3930, 6.3930, 8.5489 Å; angles 108.84, 108.84, 39.12 degrees
Last column: nearest neighbours and their distance in Å.
Fractional positions:
Sm: 0.1326 0.1326 0.2887  3 Sb 3.18-3.39, 2 Tm 3.52
Sm: 0.8674 0.8674 0.7113  3 Sb 3.18-3.39, 2 Tm 3.52
Tm: 0.3747 0.3747 0.0544  3 Sb 3.17-3.19, 3 Tm 3.45-3.54
Tm: 0.5000 0.5000 0.5000  4 Sb 3.05
Tm: 0.6253 0.6253 0.9456  3 Sb 3.17-3.19, 3 Tm 3.45-3.54
Sb: 0.1694 0.1694 0.6997  5 Tm 3.05-3.19, 3 Sm 3.18-3.39
Sb: 0.8306 0.8306 0.3003  5 Tm 3.05-3.19, 3 Sm 3.18-3.39

***

No. 11
The following is a DFT calculation (PBE) of a relaxed ZnTc2B crystal.

Values from the calculation:
**Size of the total moment**: 0.000 μB per cell
**ΔE_f**: -0.11 eV per atom
**Energy above the lowest structure with this stoichiometry**: 0 meV per atom
**DFT total energy**: -0.535 Ry/atom

Cell lengths 6.9445, 6.9445, 6.9445 Å; angles 24.81, 24.81, 24.81 degrees
Last column: nearest neighbours and their distance in Å.
Fractional positions:
Zn: 0.0000 0.0000 0.0000  6 Tc 2.75, 6 Zn 2.98
Tc: 0.2274 0.2274 0.2274  3 B 2.11
Tc: 0.4395 0.4395 0.4395  3 B 2.12
B: 0.8338 0.8338 0.8338  6 Tc 2.11-2.12

***

No. 12
The following is a DFT calculation (PBE) of a relaxed FeCuCl3 crystal.

Values from the calculation:
**Size of the total moment**: 3.543 μB per cell
**Raw formation energy**: 54.3 kJ/mol of formula units
**Energy above the lowest structure with this stoichiometry**: 661 meV per atom
**DFT total energy**: -0.258 Ry/atom

Cell lengths 4.7283, 4.7283, 4.7283 Å; angles 90.00, 90.00, 90.00 degrees
Last column: nearest neighbours and their distance in Å.
Fractional positions:
Fe: 0.0000 0.0000 0.0000  12 Cl 3.34
Cu: 0.5000 0.5000 0.5000  6 Cl 2.36
Cl: 0.0000 0.5000 0.5000  2 Cu 2.36
Cl: 0.5000 0.0000 0.5000  2 Cu 2.36
Cl: 0.5000 0.5000 0.0000  2 Cu 2.36